# Tl2VRuO6

A relaxed structure of Tl2VRuO6 (PBE with a Hubbard U, Alexandria).

Computed properties:
- Raw total energy: -6.14 eV per atom
- Total magnetization: 0.24 μB per formula unit
- Fermi-level density of states: 0.5474 states/eV/atom

Structure (POSCAR):
```
Tl2VRuO6
1.0
-2.7858 2.7858 3.9482
2.7858 -2.7858 3.9482
2.7858 2.7858 -3.9482
Tl V Ru O
2 1 1 6
Direct
0.2500 0.7500 0.5000
0.7500 0.2500 0.5000
0.0000 0.0000 0.0000
0.5000 0.5000 0.0000
0.2474 0.2474 0.0000
0.2473 0.2473 0.4946
0.2473 0.7527 0.0000
0.7527 0.2473 0.0000
0.7526 0.7526 0.0000
0.7527 0.7527 0.5054
```